A plane-wave DFT calculation with GGA+U was carried out for a relaxed SrVO3 crystal.

Lattice parameters (Å, degrees): 5.0621 5.0621 5.0621 83.27 83.27 83.27
With the nearest neighbours (Å) after each atom.
Fractional positions:
Sr  0.0000  0.0000  0.0000  3 O 2.39
V  0.6915  0.6915  0.6915  3 O 1.73
O  0.4694  0.8905  0.8905  1 V 1.73
O  0.8905  0.4694  0.8905  1 V 1.73
O  0.8905  0.8905  0.4694  1 V 1.73

## Properties
Density of states at the Fermi level = 0.000 states/eV/atom
E = -6.8534 eV per atom
Size of the total moment = 1.000 μB per formula unit